PBE-GGA HoTm2Te, relaxed; energy relative to the elements, uncorrected = -51 kJ/mol of atoms; ΔE to the lowest computed polymorph = 96 meV per atom
1.0
3.817 0.000 0.000
0.000 3.817 0.000
0.000 0.000 7.811
Tm Te Ho
2 1 1
Direct
0.000 0.000 0.773 Tm
0.000 0.000 0.227 Tm
0.500 0.500 0.000 Te
0.500 0.500 0.500 Ho